{"formula": "MgCdHg2", "functional": "PBE", "state": "relaxed", "e_tot_ev_per_atom": -0.8655, "dos_ef_per_ev_atom": 0.184, "formation_energy_mev_per_atom": -87.1, "lattice_angstrom": [[-3.047, -3.296, -2.421], [-0.350, -2.594, -4.377], [2.399, -4.986, 1.518]], "species": ["Mg", "Hg", "Hg", "Cd"], "fractional_positions": [[0.750, 0.750, 0.750], [0.005, 0.005, 0.990], [0.495, 0.495, 0.510], [0.250, 0.250, 0.250]]}